(1)
DFT (PBE-GGA) results for a relaxed LiSmSb2 crystal.

Values from the calculation:
Total magnetic moment = 0.000 Bohr magnetons per cell
Density of states at the Fermi level = 0.67 states/eV per atom
V = 105 Å³ per cell

Unit cell a=4.916 b=4.916 c=5.752 alpha=64.70 beta=64.70 gamma=60.00
Fractional coordinates of all 4 atoms:
Sm (0.500, 0.500, 0.500)
Li (0.000, 0.000, 0.000)
Sb (0.738, 0.738, 0.787)
Sb (0.262, 0.262, 0.213)

(2)
DFT (PBE-GGA) results for a relaxed LiSmSb3 crystal.

Values from the calculation:
Total magnetic moment = 0.000 Bohr magnetons per cell
Density of states at the Fermi level = 0.37 states/eV per atom
V = 523 Å³ per cell

Unit cell a=6.325 b=6.076 c=13.615 alpha=90.00 beta=90.00 gamma=90.00
Fractional coordinates of all 20 atoms:
Li (0.500, 0.250, 0.106)
Li (0.000, 0.750, 0.894)
Li (0.000, 0.250, 0.106)
Li (0.500, 0.750, 0.894)
Sm (0.250, 0.509, 0.317)
Sm (0.250, 0.009, 0.683)
Sm (0.750, 0.491, 0.683)
Sm (0.750, 0.991, 0.317)
Sb (0.250, 0.209, 0.919)
Sb (0.500, 0.750, 0.503)
Sb (0.750, 0.498, 0.251)
Sb (0.250, 0.002, 0.251)
Sb (0.250, 0.709, 0.081)
Sb (0.250, 0.502, 0.749)
Sb (0.000, 0.250, 0.497)
Sb (0.750, 0.791, 0.081)
Sb (0.750, 0.998, 0.749)
Sb (0.750, 0.291, 0.919)
Sb (0.000, 0.750, 0.503)
Sb (0.500, 0.250, 0.497)

(3)
DFT (PBE-GGA) results for a relaxed LiSm2Sb2 crystal.

Values from the calculation:
Total magnetic moment = 0.000 Bohr magnetons per cell
Density of states at the Fermi level = 0.44 states/eV per atom
V = 272 Å³ per cell

Unit cell a=6.405 b=6.502 c=7.971 alpha=114.07 beta=113.69 gamma=90.00
Fractional coordinates of all 10 atoms:
Sm (0.859, 0.641, 0.717)
Sm (0.359, 0.076, 0.717)
Sm (0.641, 0.924, 0.283)
Sm (0.141, 0.359, 0.283)
Sb (0.382, 0.619, 0.763)
Sb (0.118, 0.856, 0.237)
Sb (0.618, 0.381, 0.237)
Sb (0.882, 0.144, 0.763)
Li (0.250, 0.500, 0.000)
Li (0.750, 0.500, 0.000)

(4)
DFT (PBE-GGA) results for a relaxed LiSmSb2 crystal.

Values from the calculation:
Total magnetic moment = 0.000 Bohr magnetons per cell
Density of states at the Fermi level = 0.37 states/eV per atom
V = 202 Å³ per cell

Unit cell a=4.316 b=4.316 c=10.844 alpha=90.00 beta=90.00 gamma=90.00
Fractional coordinates of all 8 atoms:
Li (0.500, 0.500, 0.000)
Li (0.000, 0.000, 0.000)
Sb (0.000, 0.000, 0.500)
Sb (0.500, 0.000, 0.165)
Sb (0.500, 0.500, 0.500)
Sb (0.000, 0.500, 0.835)
Sm (0.500, 0.000, 0.734)
Sm (0.000, 0.500, 0.266)

(5)
DFT (PBE-GGA) results for a relaxed Li2TbSm2Sb2 crystal.

Values from the calculation:
Total magnetic moment = 0.000 Bohr magnetons per cell
Density of states at the Fermi level = 0.70 states/eV per atom
V = 176 Å³ per cell

Unit cell a=4.759 b=4.759 c=9.402 alpha=75.34 beta=75.34 gamma=60.00
Fractional coordinates of all 7 atoms:
Sb (0.733, 0.733, 0.801)
Sb (0.267, 0.267, 0.199)
Sm (0.129, 0.129, 0.612)
Sm (0.871, 0.871, 0.388)
Tb (0.000, 0.000, 0.000)
Li (0.597, 0.597, 0.209)
Li (0.403, 0.403, 0.791)

(6)
DFT (PBE-GGA) results for a relaxed Li2SmSbTe4 crystal.

Values from the calculation:
Total magnetic moment = 0.000 Bohr magnetons per cell
V = 235 Å³ per cell

Unit cell a=4.386 b=7.628 c=7.468 alpha=109.70 beta=90.00 gamma=90.00
Fractional coordinates of all 8 atoms:
Te (0.000, 0.242, 0.741)
Te (0.500, 0.753, 0.742)
Te (0.500, 0.247, 0.258)
Te (0.000, 0.758, 0.259)
Sm (0.500, 0.500, 0.000)
Li (0.000, 0.500, 0.500)
Li (0.500, 0.000, 0.500)
Sb (0.000, 0.000, 0.000)

(7)
DFT (PBE-GGA) results for a relaxed Li2SmY2Sb2 crystal.

Values from the calculation:
Total magnetic moment = 1.032 Bohr magnetons per cell
Density of states at the Fermi level = 0.72 states/eV per atom
V = 175 Å³ per cell

Unit cell a=4.741 b=4.741 c=9.383 alpha=75.37 beta=75.37 gamma=60.00
Last column: magnetic moment on the atom in μB.
Fractional coordinates of all 7 atoms:
Li (0.592, 0.592, 0.223)  0.01
Li (0.408, 0.408, 0.777)  0.01
Sb (0.263, 0.263, 0.210)  -0.01
Sb (0.737, 0.737, 0.790)  -0.01
Sm (0.000, 0.000, 0.000)  0.01
Y (0.869, 0.869, 0.392)  0.27
Y (0.131, 0.131, 0.608)  0.27

(8)
DFT (PBE-GGA) results for a relaxed LiSnSb crystal.

Values from the calculation:
Total magnetic moment = 0.000 Bohr magnetons per cell
Density of states at the Fermi level = 0.41 states/eV per atom
V = 152 Å³ per cell

Unit cell a=5.379 b=5.379 c=6.816 alpha=66.76 beta=66.76 gamma=60.00
Fractional coordinates of all 6 atoms:
Li (0.085, 0.085, 0.746)
Li (0.915, 0.915, 0.254)
Sb (0.406, 0.406, 0.782)
Sb (0.594, 0.594, 0.218)
Sn (0.759, 0.759, 0.723)
Sn (0.241, 0.241, 0.277)

(9)
DFT (PBE-GGA) results for a relaxed Li6SnSb5 crystal.

Values from the calculation:
Total magnetic moment = 0.000 Bohr magnetons per cell
Density of states at the Fermi level = 0.25 states/eV per atom
V = 260 Å³ per cell

Unit cell a=4.452 b=8.539 c=8.365 alpha=120.69 beta=105.32 gamma=89.99
Fractional coordinates of all 12 atoms:
Li (0.831, 0.084, 0.662)
Li (0.831, 0.578, 0.662)
Li (0.500, 0.743, 0.000)
Li (0.169, 0.916, 0.338)
Li (0.500, 0.257, 0.000)
Li (0.169, 0.422, 0.338)
Sb (0.340, 0.840, 0.680)
Sb (0.000, 0.500, 0.000)
Sb (0.330, 0.330, 0.660)
Sb (0.660, 0.160, 0.320)
Sb (0.670, 0.670, 0.340)
Sn (0.000, 0.000, 0.000)

(10)
DFT (PBE-GGA) results for a relaxed LiSnSb2 crystal.

Values from the calculation:
Total magnetic moment = 0.000 Bohr magnetons per cell
Density of states at the Fermi level = 0.36 states/eV per atom
V = 105 Å³ per cell

Unit cell a=4.441 b=4.441 c=6.639 alpha=70.46 beta=70.46 gamma=60.00
Fractional coordinates of all 4 atoms:
Sn (0.501, 0.501, 0.498)
Sb (0.268, 0.268, 0.196)
Sb (0.065, 0.065, 0.804)
Li (0.666, 0.666, 0.002)

(11)
DFT (PBE-GGA) results for a relaxed LiSnSb crystal.

Values from the calculation:
Total magnetic moment = 0.000 Bohr magnetons per cell
Density of states at the Fermi level = 0.49 states/eV per atom
V = 74 Å³ per cell

Unit cell a=3.987 b=3.987 c=5.451 alpha=111.45 beta=111.45 gamma=90.00
Fractional coordinates of all 3 atoms:
Sb (0.957, 0.957, 0.914)
Sn (0.608, 0.608, 0.217)
Li (0.285, 0.285, 0.569)

(12)
DFT (PBE-GGA) results for a relaxed Li2Sn2Sb crystal.

Values from the calculation:
Total magnetic moment = 0.000 Bohr magnetons per cell
Density of states at the Fermi level = 0.28 states/eV per atom
V = 120 Å³ per cell

Unit cell a=4.320 b=4.320 c=7.104 alpha=72.30 beta=72.30 gamma=90.00
Fractional coordinates of all 5 atoms:
Sn (0.608, 0.608, 0.784)
Sn (0.392, 0.392, 0.216)
Li (0.250, 0.750, 0.500)
Li (0.750, 0.250, 0.500)
Sb (0.000, 0.000, 0.000)

Number 1: total energy -17.244 eV for the cell shown. Number 2: total energy -88.888 eV for the cell shown. Number 3: total energy -48.524 eV for the cell shown. Number 4: total energy -36.414 eV for the cell shown. Number 5: total energy -30.189 eV for the cell shown. Number 6: total energy -32.119 eV for the cell shown. Number 7: total energy -33.807 eV for the cell shown. Number 8: total energy -20.761 eV for the cell shown. Number 9: total energy -40.872 eV for the cell shown. Number 10: total energy -14.476 eV for the cell shown. Number 11: total energy -10.516 eV for the cell shown. Number 12: total energy -16.276 eV for the cell shown.